Entry 1:
The following is a GGA-PBE calculation of crystalline Cs5Rb2Na2 at its relaxed geometry, from the Alexandria database.

Unit cell a=11.0123 b=11.0408 c=14.7451 alpha=111.99 beta=90.00 gamma=90.00
Closest atoms and distances in Å follow each position.
Fractional positions:
Cs 0.0000 0.0000 0.0000  4 Na 4.44-4.45
Cs 0.5000 0.5000 0.0000  4 Na 4.44-4.45
Cs 0.8174 0.7992 0.2339  3 Na 4.52-4.64, 1 Rb 4.97
Cs 0.1826 0.4347 0.2339  3 Na 4.52-4.64, 1 Rb 4.97
Cs 0.3174 0.9347 0.2339  3 Na 4.52-4.64, 1 Rb 4.97
Cs 0.6826 0.2992 0.2339  3 Na 4.52-4.64, 1 Rb 4.97
Cs 0.1826 0.2008 0.7661  3 Na 4.52-4.64, 1 Rb 4.97
Cs 0.8174 0.5653 0.7661  3 Na 4.52-4.64, 1 Rb 4.97
Cs 0.6826 0.0653 0.7661  3 Na 4.52-4.64, 1 Rb 4.97
Cs 0.3174 0.7008 0.7661  3 Na 4.52-4.64, 1 Rb 4.97
Rb 0.0000 0.2340 0.4681  6 Cs 4.97-5.16
Rb 0.5000 0.7340 0.4681  6 Cs 4.97-5.16
Rb 0.0000 0.7660 0.5319  6 Cs 4.97-5.16
Rb 0.5000 0.2660 0.5319  6 Cs 4.97-5.16
Na 0.6121 0.8864 0.0000  1 Na 3.52
Na 0.3879 0.1136 0.0000  1 Na 3.52
Na 0.1121 0.6136 0.0000  1 Na 3.52
Na 0.8879 0.3864 0.0000  1 Na 3.52

Properties
E_form: 21 meV/atom

Entry 2:
The following is a GGA-PBE calculation of crystalline Y2SbCBr at its relaxed geometry, from the Alexandria database.

Unit cell a=5.0934 b=4.4897 c=5.0934 alpha=90.00 beta=90.00 gamma=90.00
Closest atoms and distances in Å follow each position.
Fractional positions:
Y 0.0000 0.0000 0.5000  2 C 2.55
Y 0.5000 0.0000 0.0000  2 C 2.55
Sb 0.5000 0.5000 0.5000  8 Y 3.39, 4 Br 3.60
C 0.0000 0.0000 0.0000  2 Br 2.24
Br 0.0000 0.5000 0.0000  2 C 2.24

Properties
E_form (uncorrected): -106 kJ/mol of formula units

Entry 3:
The following is a GGA-PBE calculation of crystalline Zn3HgAu at its relaxed geometry, from the Alexandria database.

Unit cell a=4.9885 b=4.9885 c=4.9885 alpha=90.00 beta=90.00 gamma=90.00
Closest atoms and distances in Å follow each position.
Fractional positions:
Zn 0.0000 0.5000 0.0000  2 Au 2.49
Zn 0.0000 0.0000 0.5000  2 Au 2.49
Zn 0.5000 0.0000 0.0000  2 Au 2.49
Au 0.0000 0.0000 0.0000  6 Zn 2.49
Hg 0.5000 0.5000 0.5000  12 Zn 3.53

Properties
E_form: 94 meV/atom

Entry 4:
The following is a GGA-PBE calculation of crystalline Ce2NdGe3Pt4 at its relaxed geometry, from the Alexandria database.

Unit cell a=4.3260 b=4.3260 c=11.3406 alpha=90.00 beta=90.00 gamma=90.00
Closest atoms and distances in Å follow each position.
Fractional positions:
Ce 0.5000 0.0000 0.2207  4 Ge 3.27, 8 Pt 3.31-3.32
Ce 0.0000 0.5000 0.7793  4 Ge 3.27, 8 Pt 3.31-3.32
Nd 0.5000 0.5000 0.5000  4 Pt 2.86, 4 Ge 3.06
Ge 0.0000 0.0000 0.5000  4 Pt 2.86, 4 Nd 3.06
Ge 0.5000 0.0000 0.8811  5 Pt 2.45-2.55
Ge 0.0000 0.5000 0.1189  5 Pt 2.45-2.55
Pt 0.5000 0.5000 0.0000  4 Ge 2.55
Pt 0.0000 0.0000 0.0000  4 Ge 2.55
Pt 0.5000 0.0000 0.6652  1 Ge 2.45
Pt 0.0000 0.5000 0.3348  1 Ge 2.45

Properties
E_form: -875 meV/atom

Entry 5:
The following is a GGA-PBE calculation of crystalline MnAs5 at its relaxed geometry, from the Alexandria database.

Unit cell a=5.2060 b=5.2060 c=4.7836 alpha=90.00 beta=90.00 gamma=120.00
Closest atoms and distances in Å follow each position.
Fractional positions:
Mn 0.0000 0.0000 0.5000  12 As 2.82-3.01
As 0.7139 0.0000 0.0000  2 As 2.58, 2 Mn 2.82
As 0.2861 0.2861 0.0000  2 As 2.58, 2 Mn 2.82
As 0.0000 0.7139 0.0000  2 As 2.58, 2 Mn 2.82
As 0.6667 0.3333 0.5000  3 Mn 3.01, 9 As 3.01-3.04
As 0.3333 0.6667 0.5000  3 Mn 3.01, 9 As 3.01-3.04

Properties
E_form: 329 meV/atom